{
  "formula": "TbPm2Er5Th",
  "functional": "PBE-GGA",
  "state": "optimized geometry",
  "cell": [[8.6822, 0.0000, 0.0000], [0.0000, 8.6822, 0.0000], [-4.3411, -4.3411, 7.6325]],
  "species": ["Pm", "Pm", "Pm", "Pm", "Er", "Er", "Er", "Er", "Er", "Er", "Er", "Er", "Er", "Er", "Tb", "Tb", "Th", "Th"],
  "frac_coords": [[0.8844, 0.6156, 0.0000], [0.3844, 0.8844, 0.0000], [0.1156, 0.3844, 0.0000], [0.6156, 0.1156, 0.0000], [0.5000, 0.5000, 0.0000], [0.9262, 0.4262, 0.2777], [0.4262, 0.3515, 0.2777], [0.0000, 0.0000, 0.0000], [0.6485, 0.1485, 0.7223], [0.5738, 0.6485, 0.7223], [0.0738, 0.5738, 0.7223], [0.8515, 0.9262, 0.2777], [0.3515, 0.8515, 0.2777], [0.1485, 0.0738, 0.7223], [0.2500, 0.7500, 0.5000], [0.7500, 0.2500, 0.5000], [0.7500, 0.7500, 0.5000], [0.2500, 0.2500, 0.5000]],
  "total_energy_ev_per_atom": -4.63,
  "magmom_total_mub_per_cell": 0.0,
  "space_group": "I4/mcm",
  "dos_ef_per_ev_atom": 1.169
}